Computed, not measured: a relaxed Ta4Cu3W2N3 crystal at the PBE-GGA level of DFT.

Summary:
VASP energy = -9.2704 eV per atom

Cell: 5.2665 5.2665 13.5060 Å, 101.31 101.31 59.15°
Atoms (fractional coordinates):
Cu 0.1343 0.4118 0.2494
Cu 0.0437 0.9563 0.2500
Cu 0.5882 0.8657 0.2506
Cu 0.4118 0.1343 0.7494
Cu 0.9563 0.0437 0.7500
Cu 0.8657 0.5882 0.7506
N 0.5000 0.0000 0.0000
N 0.7843 0.3600 0.0003
N 0.6400 0.2157 0.4997
N 0.0000 0.5000 0.5000
N 0.3600 0.7843 0.5003
N 0.2157 0.6400 0.9997
Ta 0.1975 0.0229 0.0841
Ta 0.8630 0.6933 0.0851
Ta 0.3067 0.1370 0.4149
Ta 0.9771 0.8025 0.4159
Ta 0.0229 0.1975 0.5841
Ta 0.6933 0.8630 0.5851
Ta 0.1370 0.3067 0.9149
Ta 0.8025 0.9771 0.9159
W 0.5432 0.3893 0.1266
W 0.6107 0.4568 0.3734
W 0.3893 0.5432 0.6266
W 0.4568 0.6107 0.8734

***

Computed, not measured: a relaxed Zr4Ta2Cu3N3 crystal at the PBE-GGA level of DFT.

Summary:
VASP energy = -8.5723 eV per atom

Cell: 5.5785 5.5785 13.6049 Å, 102.24 102.24 59.96°
Atoms (fractional coordinates):
Cu 0.5830 0.6793 0.2492
Cu 0.8465 0.1535 0.2500
Cu 0.3207 0.4170 0.2508
Cu 0.6793 0.5830 0.7492
Cu 0.1535 0.8465 0.7500
Cu 0.4170 0.3207 0.7508
N 0.5000 0.0000 0.0000
N 0.8384 0.3308 0.0000
N 0.1616 0.6692 0.0000
N 0.3308 0.8384 0.5000
N 0.0000 0.5000 0.5000
N 0.6692 0.1616 0.5000
Ta 0.5264 0.3538 0.0768
Ta 0.6462 0.4736 0.4232
Ta 0.3538 0.5264 0.5768
Ta 0.4736 0.6462 0.9232
Zr 0.8768 0.7014 0.1052
Zr 0.1959 0.0422 0.1052
Zr 0.9578 0.8041 0.3948
Zr 0.2986 0.1232 0.3948
Zr 0.7014 0.8768 0.6052
Zr 0.0422 0.1959 0.6052
Zr 0.8041 0.9578 0.8948
Zr 0.1232 0.2986 0.8948

***

Computed, not measured: a relaxed Zr4TlCuN2 crystal at the PBE-GGA level of DFT.

Summary:
VASP energy = -8.0000 eV per atom

Cell: 3.3058 3.3058 14.1604 Å, 90.00 90.00 120.00°
Atoms (fractional coordinates):
Cu 0.6667 0.3333 0.5000
N 0.3333 0.6667 0.2643
N 0.3333 0.6667 0.7357
Tl 0.0000 0.0000 0.0000
Zr 0.6667 0.3333 0.1765
Zr 0.0000 0.0000 0.3531
Zr 0.0000 0.0000 0.6469
Zr 0.6667 0.3333 0.8235

***

Computed, not measured: a relaxed CuW3N2 crystal at the PBE-GGA level of DFT.

Summary:
VASP energy = -9.4929 eV per atom

Cell: 3.0808 3.0808 17.6845 Å, 90.00 90.00 120.00°
Atoms (fractional coordinates):
Cu 0.0000 0.0000 0.2500
Cu 0.0000 0.0000 0.7500
N 0.3333 0.6667 0.0690
N 0.3333 0.6667 0.4310
N 0.6667 0.3333 0.5690
N 0.6667 0.3333 0.9310
W 0.0000 0.0000 0.0000
W 0.6667 0.3333 0.1342
W 0.6667 0.3333 0.3658
W 0.0000 0.0000 0.5000
W 0.3333 0.6667 0.6342
W 0.3333 0.6667 0.8658

***

Computed, not measured: a relaxed CuW2N crystal at the PBE-GGA level of DFT.

Summary:
VASP energy = -9.3340 eV per atom

Cell: 4.9502 4.9502 14.3392 Å, 99.95 99.95 60.08°
Atoms (fractional coordinates):
Cu 0.0451 0.5811 0.2498
Cu 0.7917 0.2083 0.2500
Cu 0.4189 0.9549 0.2502
Cu 0.5811 0.0451 0.7498
Cu 0.2083 0.7917 0.7500
Cu 0.9549 0.4189 0.7502
N 0.6564 0.1873 0.0000
N 0.0000 0.5000 0.0000
N 0.3436 0.8127 0.0000
N 0.1873 0.6564 0.5000
N 0.5000 0.0000 0.5000
N 0.8127 0.3436 0.5000
W 0.0350 0.1966 0.0967
W 0.6998 0.8666 0.0968
W 0.3690 0.5347 0.1056
W 0.4653 0.6310 0.3944
W 0.1334 0.3002 0.4032
W 0.8035 0.9650 0.4033
W 0.1965 0.0350 0.5967
W 0.8666 0.6998 0.5968
W 0.5347 0.3690 0.6056
W 0.6310 0.4653 0.8944
W 0.3002 0.1334 0.9032
W 0.9650 0.8034 0.9033

***

Computed, not measured: a relaxed CuW2N crystal at the PBE-GGA level of DFT.

Summary:
VASP energy = -9.2797 eV per atom

Cell: 2.8045 2.8045 14.6958 Å, 90.00 90.00 120.00°
Atoms (fractional coordinates):
Cu 0.6667 0.3333 0.2500
Cu 0.3333 0.6667 0.7500
N 0.0000 0.0000 0.0000
N 0.0000 0.0000 0.5000
W 0.3333 0.6667 0.0992
W 0.3333 0.6667 0.4008
W 0.6667 0.3333 0.5992
W 0.6667 0.3333 0.9008

***

Computed, not measured: a relaxed CuW3N5 crystal at the PBE-GGA level of DFT.

Summary:
VASP energy = -8.6750 eV per atom

Cell: 5.3821 5.3821 4.1576 Å, 90.00 90.00 120.00°
Atoms (fractional coordinates):
Cu 0.0000 0.0000 0.0000
N 0.6667 0.3333 0.1604
N 0.3333 0.6667 0.1604
N 0.0000 0.0000 0.5000
N 0.6667 0.3333 0.8396
N 0.3333 0.6667 0.8396
W 0.5000 0.0000 0.5000
W 0.0000 0.5000 0.5000
W 0.5000 0.5000 0.5000

***

Computed, not measured: a relaxed CuW4N3 crystal at the PBE-GGA level of DFT.

Summary:
VASP energy = -9.8887 eV per atom

Cell: 2.8106 2.8106 26.4682 Å, 90.00 90.00 120.00°
Atoms (fractional coordinates):
Cu 0.3333 0.6667 0.2500
Cu 0.6667 0.3333 0.7500
N 0.0000 0.0000 0.0000
N 0.6667 0.3333 0.1134
N 0.6667 0.3333 0.3866
N 0.0000 0.0000 0.5000
N 0.3333 0.6667 0.6134
N 0.3333 0.6667 0.8866
W 0.3333 0.6667 0.0565
W 0.0000 0.0000 0.1677
W 0.0000 0.0000 0.3323
W 0.3333 0.6667 0.4435
W 0.6667 0.3333 0.5565
W 0.0000 0.0000 0.6677
W 0.0000 0.0000 0.8323
W 0.6667 0.3333 0.9435

***

Computed, not measured: a relaxed Y2Cu3W4N3 crystal at the PBE-GGA level of DFT.

Summary:
VASP energy = -8.7042 eV per atom

Cell: 5.4611 5.4611 13.3806 Å, 101.72 101.72 60.41°
Atoms (fractional coordinates):
Cu 0.4148 0.0983 0.2496
Cu 0.9301 0.0699 0.2500
Cu 0.9017 0.5852 0.2504
Cu 0.0983 0.4148 0.7496
Cu 0.0699 0.9301 0.7500
Cu 0.5852 0.9017 0.7504
N 0.0000 0.5000 0.0000
N 0.3461 0.8079 0.0003
N 0.1921 0.6539 0.4997
N 0.5000 0.0000 0.5000
N 0.8079 0.3461 0.5003
N 0.6539 0.1921 0.9997
W 0.0317 0.1883 0.0770
W 0.6941 0.8635 0.0775
W 0.1365 0.3059 0.4225
W 0.8117 0.9683 0.4230
W 0.1883 0.0317 0.5770
W 0.8635 0.6941 0.5775
W 0.3059 0.1365 0.9225
W 0.9683 0.8117 0.9230
Y 0.3802 0.5413 0.1237
Y 0.4587 0.6198 0.3763
Y 0.5413 0.3802 0.6237
Y 0.6198 0.4587 0.8763

***

Computed, not measured: a relaxed Zr4Cu3W2N3 crystal at the PBE-GGA level of DFT.

Summary:
VASP energy = -8.6034 eV per atom

Cell: 5.5675 5.5675 13.2660 Å, 90.15 101.98 119.95°
Atoms (fractional coordinates):
Cu 0.5816 0.5887 0.2500
Cu 0.0943 0.8443 0.2500
Cu 0.8388 0.3316 0.2500
Cu 0.1612 0.6684 0.7500
Cu 0.9057 0.1557 0.7500
Cu 0.4184 0.4113 0.7500
N 0.3262 0.1518 0.0000
N 0.0000 0.5000 0.0000
N 0.6738 0.8482 0.0000
N 0.6517 0.3262 0.4999
N 0.0000 0.0000 0.5000
N 0.3483 0.6738 0.5001
W 0.7195 0.5255 0.0705
W 0.9550 0.6490 0.4295
W 0.0450 0.3510 0.5705
W 0.2805 0.4745 0.9295
Zr 0.4104 0.8774 0.1081
Zr 0.0723 0.1998 0.1085
Zr 0.5913 0.9638 0.3915
Zr 0.2693 0.3023 0.3919
Zr 0.7307 0.6977 0.6081
Zr 0.4087 0.0362 0.6085
Zr 0.9277 0.8002 0.8915
Zr 0.5896 0.1226 0.8919

***

Computed, not measured: a relaxed Y3CuN2 crystal at the PBE-GGA level of DFT.

Summary:
VASP energy = -7.7039 eV per atom

Cell: 3.4957 3.4957 19.4669 Å, 90.00 90.00 120.00°
Last column: magnetic moment on the atom in μB.
Atoms (fractional coordinates):
Cu 0.0000 0.0000 0.2500  0.05
Cu 0.0000 0.0000 0.7500  0.05
N 0.3333 0.6667 0.0742  0.01
N 0.3333 0.6667 0.4258  0.01
N 0.6667 0.3333 0.5742  0.01
N 0.6667 0.3333 0.9258  0.01
Y 0.0000 0.0000 0.0000  0.03
Y 0.6667 0.3333 0.1415  0.14
Y 0.6667 0.3333 0.3585  0.14
Y 0.0000 0.0000 0.5000  0.03
Y 0.3333 0.6667 0.6415  0.14
Y 0.3333 0.6667 0.8585  0.14

***

Computed, not measured: a relaxed Y2CuN crystal at the PBE-GGA level of DFT.

Summary:
VASP energy = -7.0126 eV per atom

Cell: 3.5353 3.5353 13.8075 Å, 90.00 90.00 120.00°
Atoms (fractional coordinates):
Cu 0.6667 0.3333 0.2500
Cu 0.3333 0.6667 0.7500
N 0.0000 0.0000 0.0000
N 0.0000 0.0000 0.5000
Y 0.3333 0.6667 0.0987
Y 0.3333 0.6667 0.4013
Y 0.6667 0.3333 0.5987
Y 0.6667 0.3333 0.9013

***

- The lowest VASP energy belongs to which entry?
  CuW4N3

***

- What is the VASP energy in the seventh record?
  -8.6750 eV per atom